Here is a relaxed NaGaTe2O6 crystal from Alexandria via LeMat-Bulk. Energies are from PBE-GGA.

Computed properties:
Energy above the most stable polymorph in this dataset ... 47 meV per atom
Formation energy without anion corrections ... -1337 meV per atom
Calculated volume ... 737 Å³/cell

Unit cell a=9.292 b=13.303 c=6.309 alpha=90.00 beta=109.16 gamma=90.00
Space group C2/c (No. 15)
Asymmetric unit:
Na  0.000  0.109  0.250 x4
Ga  0.000  0.253  0.750 x4
Te  0.209  0.408  0.235 x8
O  0.113  0.174  0.615 x8
O  0.134  0.334  0.958 x8
O  0.203  0.008  0.388 x8


Here is a relaxed Pa2CuS6 crystal from Alexandria via LeMat-Bulk. Energies are from PBE-GGA.

Computed properties:
Energy above the most stable polymorph in this dataset ... 179 meV per atom
Formation energy without anion corrections ... -1012 meV per atom
Calculated volume ... 168 Å³/cell

Unit cell a=7.1277 b=7.1277 c=3.8119 alpha=90.00 beta=90.00 gamma=120.00
Space group P-62m (No. 189)
Asymmetric unit:
Pa  0.3333  0.6667  0.0000 x2
Cu  0.0000  0.0000  0.5000 x1
S  0.0000  0.4407  0.5000 x3
S  0.0000  0.7591  0.0000 x3


Here is a relaxed BeAsSe2 crystal from Alexandria via LeMat-Bulk. Energies are from PBE-GGA.

Computed properties:
Energy above the most stable polymorph in this dataset ... 747 meV per atom
Formation energy without anion corrections ... 631 meV per atom
Calculated volume ... 74 Å³/cell

Unit cell a=3.139 b=4.342 c=5.447 alpha=90.00 beta=90.00 gamma=90.00
Space group Pmmm (No. 47)
Asymmetric unit:
Be  0.000  0.000  0.000 x1
As  0.500  0.500  0.000 x1
Se  0.000  0.500  0.500 x1
Se  0.500  0.000  0.500 x1


Here is a relaxed La2AgS3 crystal from Alexandria via LeMat-Bulk. Energies are from PBE-GGA.

Computed properties:
Formation energy without anion corrections ... -1610 meV per atom
Calculated volume ... 287 Å³/cell

Unit cell a=3.848 b=4.660 c=16.024 alpha=90.00 beta=90.00 gamma=90.00
Space group Immm (No. 71)
Asymmetric unit:
La  0.000  0.000  0.142 x4
Ag  0.000  0.000  0.500 x2
S  0.000  0.000  0.323 x4
S  0.000  0.500  0.500 x2


Here is a relaxed VCr2W crystal from Alexandria via LeMat-Bulk. Energies are from PBE-GGA.

Computed properties:
DFT formation energy ... -0.06 eV per atom
Energy above the most stable polymorph in this dataset ... 4 meV per atom
Calculated volume ... 53 Å³/cell

Unit cell a=4.213 b=4.213 c=2.978 alpha=90.00 beta=90.00 gamma=90.00
Space group P4/mmm (No. 123)
Asymmetric unit:
V  0.000  0.000  0.000 x1
Cr  0.000  0.500  0.500 x2
W  0.500  0.500  0.000 x1


Here is a relaxed AlSbNO2 crystal from Alexandria via LeMat-Bulk. Energies are from PBE-GGA.

Computed properties:
Formation energy without anion corrections ... -194 meV per atom
Calculated volume ... 64 Å³/cell

Unit cell a=3.925 b=3.925 c=4.153 alpha=90.00 beta=90.00 gamma=90.00
Space group P4/mmm (No. 123)
Asymmetric unit:
Al  0.000  0.000  0.000 x1
Sb  0.500  0.500  0.500 x1
N  0.500  0.500  0.000 x1
O  0.000  0.500  0.500 x2


Here is a relaxed Er6HgPd12 crystal from Alexandria via LeMat-Bulk. Energies are from PBE-GGA.

Computed properties:
DFT formation energy ... -0.73 eV per atom
Calculated volume ... 1125 Å³/cell

Unit cell a=10.8227 b=10.8227 c=11.0885 alpha=90.00 beta=90.00 gamma=120.00
Space group R-3 (No. 148, hexagonal axes)
Asymmetric unit:
Er  0.0105  0.5800  0.2440 x18
Hg  0.0000  0.0000  0.5000 x3
Pd  0.0619  0.8668  0.3212 x18
Pd  0.0645  0.1764  0.8906 x18


Here is a relaxed Pr2Ge2S7 crystal from Alexandria via LeMat-Bulk. Energies are from PBE-GGA.

Computed properties:
Formation energy without anion corrections ... -958 meV per atom
Calculated volume ... 601 Å³/cell

Unit cell a=9.257 b=11.001 c=6.010 alpha=90.00 beta=100.86 gamma=90.00
Space group C2/m (No. 12)
Asymmetric unit:
Pr  0.000  0.210  0.000 x4
Ge  0.233  0.500  0.422 x4
S  0.000  0.500  0.500 x2
S  0.099  0.000  0.263 x4
S  0.244  0.170  0.768 x8


Q: The lowest calculated volume belongs to which entry?
A: VCr2W


Q: What is the calculated volume in the third record?
A: 74 Å³/cell


Q: Among the records above, which one has the lowest calculated volume?
A: VCr2W